Computed, not measured: a geometry-optimized LiPrNpTe3 structure at the PBE level of DFT.

Geometry as extended XYZ:
```
12
Lattice="4.329 0.000 0.000 0.000 9.003 0.567 0.000 -2.885 9.215" Properties=species:S:1:pos:R:3 pbc="T T T"
Li 3.247 7.025 4.343
Li 1.082 -0.907 5.439
Te 1.082 5.476 5.039
Te 3.247 0.641 4.743
Te 1.082 2.755 7.912
Te 1.082 -1.706 8.089
Te 3.247 3.362 1.870
Te 3.247 7.824 1.693
Np 3.247 0.545 7.944
Np 1.082 5.572 1.838
Pr 3.247 5.111 7.517
Pr 1.082 1.006 2.265
```

Computed properties:
DOS(E_F): 26.15 states/eV/cell
E: -5.844 eV/atom
calculated volume: 30.52 A^3/atom

Computed, not measured: a geometry-optimized OsAu2Cl structure at the PBE level of DFT.

Geometry as extended XYZ:
```
4
Lattice="-0.997 -2.218 1.728 1.443 -0.520 -2.559 8.064 -0.073 4.561" Properties=species:S:1:pos:R:3 pbc="T T T"
Au 8.061 -0.073 4.559
Au 4.035 -0.037 2.282
Os 6.271 -1.424 3.005
Cl 2.239 -1.387 0.725
```

Computed properties:
ΔE to the lowest computed polymorph: 122.9 meV/atom
DOS(E_F): 2.96 states/eV/cell
calculated volume: 17.50 A^3/atom

Computed, not measured: a geometry-optimized Tb2MgHg2 structure at the PBE level of DFT.

Geometry as extended XYZ:
```
10
Lattice="3.970 0.000 0.000 0.000 8.130 0.000 0.000 0.000 8.130" Properties=species:S:1:pos:R:3 pbc="T T T"
Mg 0.000 0.000 0.000
Mg 0.000 4.065 4.065
Hg 0.000 1.099 2.966
Hg 0.000 2.966 7.031
Hg 0.000 7.031 5.164
Hg 0.000 5.164 1.099
Tb 1.985 5.409 6.786
Tb 1.985 2.721 1.344
Tb 1.985 1.344 5.409
Tb 1.985 6.786 2.721
```

Computed properties:
DOS(E_F): 7.75 states/eV/cell
E: -2.694 eV/atom
calculated volume: 26.24 A^3/atom

Computed, not measured: a geometry-optimized YGa2N3 structure at the PBE level of DFT.

Geometry as extended XYZ:
```
12
Lattice="1.906 0.405 -5.645 -5.801 -0.782 1.183 -0.678 5.250 0.147" Properties=species:S:1:pos:R:3 pbc="T T T"
N -0.341 2.012 -4.941
N -1.809 4.710 -1.223
N -5.147 1.272 -0.683
N 0.426 4.744 -3.600
N -4.380 4.004 0.658
N -2.993 1.937 -3.042
Ga -5.780 4.558 -0.599
Ga 0.882 2.833 -3.645
Ga -0.751 5.332 -5.055
Ga -4.147 2.058 0.810
Y -1.533 2.359 -1.321
Y -3.340 4.841 -2.929
```

Computed properties:
DOS(E_F): 0.00 states/eV/cell
E: -7.032 eV/atom
calculated volume: 13.57 A^3/atom

Computed, not measured: a geometry-optimized TbPuRu structure at the PBE level of DFT.

Geometry as extended XYZ:
```
3
Lattice="3.541 0.000 0.000 0.000 3.541 0.000 -1.770 -1.770 5.480" Properties=species:S:1:pos:R:3 pbc="T T T"
Tb 0.000 0.000 0.142
Pu 0.000 0.000 3.281
Ru 1.770 1.770 2.057
```

Computed properties:
ΔE to the lowest computed polymorph: 79.1 meV/atom
DOS(E_F): 6.27 states/eV/cell
calculated volume: 22.90 A^3/atom

Computed, not measured: a geometry-optimized Ac2PmHo structure at the PBE level of DFT.

Geometry as extended XYZ:
```
4
Lattice="5.186 0.000 0.000 0.000 5.430 0.000 0.000 0.000 5.430" Properties=species:S:1:pos:R:3 pbc="T T T"
Ho 2.593 2.715 2.715
Pm 2.593 0.000 0.000
Ac 0.000 0.000 2.715
Ac 0.000 2.715 0.000
```

Computed properties:
ΔE to the lowest computed polymorph: 2.5 meV/atom
DOS(E_F): 5.66 states/eV/cell
calculated volume: 38.22 A^3/atom